1.
PmB3O6 after structural relaxation, computed with GGA-PBE.

The structure in CIF format:
```
data_PmB3O6
_cell_length_a 11.2275
_cell_length_b 11.2275
_cell_length_c 3.9100
_cell_angle_alpha 90.00
_cell_angle_beta 90.00
_cell_angle_gamma 120.00
_space_group_name_H-M_alt 'R 3 m'
_space_group_IT_number 160
_space_group_name_Hall 'R 3 -2"'
loop_
_atom_site_label
_atom_site_type_symbol
_atom_site_fract_x
_atom_site_fract_y
_atom_site_fract_z
Pm1 Pm 0.0000 0.0000 0.0000
B1 B 0.1864 0.3729 0.1024
O1 O 0.0846 0.5423 0.6823
O2 O 0.1663 0.0832 0.5090
```

Calculated values
Electronic total energy (eV/atom): -7.91
DOS at the Fermi energy (states/eV/atom): 0.000

***

2.
Pm4BO7 after structural relaxation, computed with GGA-PBE.

The structure in CIF format:
```
data_Pm4BO7
_cell_length_a 12.6437
_cell_length_b 4.2373
_cell_length_c 8.3649
_cell_angle_alpha 90.00
_cell_angle_beta 130.86
_cell_angle_gamma 90.00
_space_group_name_H-M_alt 'C 1 2/m 1'
_space_group_IT_number 12
loop_
_space_group_symop_operation_xyz
'x,y,z'
'-x,-y,-z'
'-x,y,-z'
'x,-y,z'
'x+1/2,y+1/2,z'
'-x+1/2,-y+1/2,-z'
'-x+1/2,y+1/2,-z'
'x+1/2,-y+1/2,z'
loop_
_atom_site_label
_atom_site_type_symbol
_atom_site_fract_x
_atom_site_fract_y
_atom_site_fract_z
Pm1 Pm 0.0944 0.0000 0.2877
Pm2 Pm 0.2242 0.0000 0.8223
B1 B 0.0000 0.5000 0.5000
O1 O 0.0000 0.0000 0.5000
O2 O 0.0589 0.5000 0.7031
O3 O 0.1436 0.0000 0.0356
O4 O 0.1898 0.5000 0.3445
```

Calculated values
Electronic total energy (eV/atom): -7.94
DOS at the Fermi energy (states/eV/atom): 0.195

***

3.
PmBO after structural relaxation, computed with GGA-PBE.

The structure in CIF format:
```
data_PmBO
_cell_length_a 6.1338
_cell_length_b 3.6998
_cell_length_c 7.9654
_cell_angle_alpha 90.00
_cell_angle_beta 104.50
_cell_angle_gamma 90.00
_space_group_name_H-M_alt 'C 1 2/m 1'
_space_group_IT_number 12
loop_
_space_group_symop_operation_xyz
'x,y,z'
'-x,-y,-z'
'-x,y,-z'
'x,-y,z'
'x+1/2,y+1/2,z'
'-x+1/2,-y+1/2,-z'
'-x+1/2,y+1/2,-z'
'x+1/2,-y+1/2,z'
loop_
_atom_site_label
_atom_site_type_symbol
_atom_site_fract_x
_atom_site_fract_y
_atom_site_fract_z
Pm1 Pm 0.0968 0.0000 0.2835
B1 B 0.1516 0.5000 0.9968
O1 O 0.2094 0.0000 0.6144
```

Calculated values
Electronic total energy (eV/atom): -7.14
DOS at the Fermi energy (states/eV/atom): 0.067

***

4.
PmB4O7 after structural relaxation, computed with GGA-PBE.

The structure in CIF format:
```
data_PmB4O7
_cell_length_a 10.9138
_cell_length_b 4.4665
_cell_length_c 4.2841
_cell_angle_alpha 90.00
_cell_angle_beta 90.00
_cell_angle_gamma 90.00
_space_group_name_H-M_alt 'P m n 21'
_space_group_IT_number 31
loop_
_space_group_symop_operation_xyz
'x,y,z'
'-x+1/2,-y,z+1/2'
'-x,y,z'
'x+1/2,-y,z+1/2'
loop_
_atom_site_label
_atom_site_type_symbol
_atom_site_fract_x
_atom_site_fract_y
_atom_site_fract_z
Pm1 Pm 0.0000 0.2214 0.0000
B1 B 0.1216 0.6764 0.4935
B2 B 0.2456 0.8261 0.9700
O1 O 0.0000 0.7508 0.3705
O2 O 0.1310 0.7443 0.8256
O3 O 0.1476 0.3620 0.4334
O4 O 0.2160 0.8759 0.3197
```

Calculated values
Electronic total energy (eV/atom): -7.90
DOS at the Fermi energy (states/eV/atom): 0.039

***

5.
PmBO3 after structural relaxation, computed with GGA-PBE.

The structure in CIF format:
```
data_PmBO3
_cell_length_a 8.4324
_cell_length_b 6.6760
_cell_length_c 3.7200
_cell_angle_alpha 90.00
_cell_angle_beta 91.08
_cell_angle_gamma 90.00
_space_group_name_H-M_alt 'C 1 2/m 1'
_space_group_IT_number 12
loop_
_space_group_symop_operation_xyz
'x,y,z'
'-x,-y,-z'
'-x,y,-z'
'x,-y,z'
'x+1/2,y+1/2,z'
'-x+1/2,-y+1/2,-z'
'-x+1/2,y+1/2,-z'
'x+1/2,-y+1/2,z'
loop_
_atom_site_label
_atom_site_type_symbol
_atom_site_fract_x
_atom_site_fract_y
_atom_site_fract_z
Pm1 Pm 0.2021 0.0000 0.2019
B1 B 0.0000 0.3379 0.5000
O1 O 0.0972 0.5000 0.3078
O2 O 0.1088 0.2144 0.7101
```

Calculated values
Electronic total energy (eV/atom): -8.20
DOS at the Fermi energy (states/eV/atom): 0.000

***

6.
PmBO4 after structural relaxation, computed with GGA-PBE.

The structure in CIF format:
```
data_PmBO4
_cell_length_a 5.2037
_cell_length_b 4.8233
_cell_length_c 7.9074
_cell_angle_alpha 90.00
_cell_angle_beta 130.91
_cell_angle_gamma 90.00
_space_group_name_H-M_alt 'P 1 21/c 1'
_space_group_IT_number 14
loop_
_space_group_symop_operation_xyz
'x,y,z'
'-x,-y,-z'
'-x,y+1/2,-z+1/2'
'x,-y+1/2,z+1/2'
loop_
_atom_site_label
_atom_site_type_symbol
_atom_site_fract_x
_atom_site_fract_y
_atom_site_fract_z
Pm1 Pm 0.0000 0.0000 0.0000
B1 B 0.5000 0.0000 0.5000
O1 O 0.1678 0.1492 0.3695
O2 O 0.4299 0.6520 0.1304
```

Calculated values
Electronic total energy (eV/atom): -7.04
DOS at the Fermi energy (states/eV/atom): 0.013

***

7.
PmBO3 after structural relaxation, computed with GGA-PBE.

The structure in CIF format:
```
data_PmBO3
_cell_length_a 4.0956
_cell_length_b 5.0455
_cell_length_c 6.2444
_cell_angle_alpha 90.00
_cell_angle_beta 108.35
_cell_angle_gamma 90.00
_space_group_name_H-M_alt 'P 1 21/m 1'
_space_group_IT_number 11
loop_
_space_group_symop_operation_xyz
'x,y,z'
'-x,-y,-z'
'-x,y+1/2,-z'
'x,-y+1/2,z'
loop_
_atom_site_label
_atom_site_type_symbol
_atom_site_fract_x
_atom_site_fract_y
_atom_site_fract_z
Pm1 Pm 0.1172 0.2500 0.2783
B1 B 0.4982 0.7500 0.2452
O1 O 0.1590 0.7500 0.1109
O2 O 0.3427 0.0137 0.6704
```

Calculated values
Electronic total energy (eV/atom): -8.30
DOS at the Fermi energy (states/eV/atom): 0.000

***

8.
PmPrB2O6 after structural relaxation, computed with GGA-PBE.

The structure in CIF format:
```
data_PmPrB2O6
_cell_length_a 5.1423
_cell_length_b 5.1423
_cell_length_c 17.7363
_cell_angle_alpha 90.00
_cell_angle_beta 90.00
_cell_angle_gamma 120.00
_space_group_name_H-M_alt 'R -3'
_space_group_IT_number 148
_space_group_name_Hall '-R 3'
loop_
_atom_site_label
_atom_site_type_symbol
_atom_site_fract_x
_atom_site_fract_y
_atom_site_fract_z
Pm1 Pm 0.0000 0.0000 0.0000
Pr1 Pr 0.0000 0.0000 0.5000
B1 B 0.0000 0.0000 0.2510
O1 O 0.0064 0.7330 0.7492
```

Calculated values
Electronic total energy (eV/atom): -8.28
DOS at the Fermi energy (states/eV/atom): 0.000